Below is a geometry-optimized Pr6YEr2 structure, with properties calculated at the PBE level.

Output
Space group = Cmmm (65)
VASP energy = -4.79 eV/atom
Calculated volume = 34.70 Å³ per atom
Energy of formation from the pure elements = 2.917 kcal/mol of atoms

a b c (Å): 10.1041 10.1041 3.6920
angles (deg): 90.00 90.00 124.04
Last column: nearest neighbours and their distance in Å.
Atoms (fractional coordinates):
Pr1 0.0102 0.3414 0.0000  6 Pr 3.32-3.69, 2 Er 3.59
Pr2 0.1825 0.1825 0.5000  7 Pr 3.46-3.69, 2 Y 3.53
Pr3 0.3414 0.0102 0.0000  6 Pr 3.32-3.69, 2 Er 3.59
Pr4 0.6586 0.9898 0.0000  6 Pr 3.32-3.69, 2 Er 3.59
Pr5 0.8175 0.8175 0.5000  7 Pr 3.46-3.69, 2 Y 3.53
Pr6 0.9898 0.6586 0.0000  6 Pr 3.32-3.69, 2 Er 3.59
Y1 0.5000 0.5000 0.0000  4 Pr 3.53, 4 Er 3.65, 2 Y 3.69
Er1 0.3235 0.6765 0.5000  8 Pr 3.59-3.76, 2 Y 3.65, 2 Er 3.69
Er2 0.6765 0.3235 0.5000  8 Pr 3.59-3.76, 2 Y 3.65, 2 Er 3.69